MnHg2F: optimized geometry, PBE+U.

Cell lengths 7.648, 7.648, 5.723 Å; angles 90.00, 90.00, 90.00 degrees
Positions (direct):
1 Mn 0.000 0.000 0.000
2 Mn 0.000 0.500 0.250
3 Mn 0.500 0.000 0.750
4 Mn 0.500 0.500 0.500
5 Hg 0.234 0.250 0.625
6 Hg 0.250 0.734 0.875
7 Hg 0.250 0.766 0.375
8 Hg 0.266 0.250 0.125
9 Hg 0.734 0.750 0.125
10 Hg 0.750 0.234 0.375
11 Hg 0.750 0.266 0.875
12 Hg 0.766 0.750 0.625
13 F 0.000 0.000 0.500
14 F 0.000 0.500 0.750
15 F 0.500 0.000 0.250
16 F 0.500 0.500 0.000

## Properties
DOS(E_F) ... 5.49 states/eV per cell
Size of the total moment ... 1.27 μB/atom
Energy above the most stable polymorph in this dataset ... 0.0000 eV per atom